A relaxed Ho2AgS4 crystal. Source: the Alexandria database, functional PBE-GGA.

Summary:
energy relative to the lowest polymorph listed for this composition	58	meV/atom
calculated total energy	-75.82	eV/cell
ΔE_f (raw)	-1342	meV/atom

Cell: 6.6347 5.2909 8.5606 Å, 90.00 98.84 90.00°
Positions (direct):
S  0.5571  0.4902  0.2961
S  0.9728  0.2500  0.1218
S  0.4429  0.5098  0.7039
S  0.9088  0.2500  0.5932
S  0.0912  0.7500  0.4068
S  0.5571  0.0098  0.2961
S  0.0272  0.7500  0.8782
S  0.4429  0.9902  0.7039
Ag  0.3395  0.7500  0.0785
Ag  0.6605  0.2500  0.9215
Ho  0.8406  0.7500  0.1460
Ho  0.7593  0.7500  0.5673
Ho  0.1594  0.2500  0.8540
Ho  0.2407  0.2500  0.4327